First-principles (PBE-GGA) data for crystalline SrTeAsI2 at its relaxed geometry, as listed in Alexandria.

Structure (CIF):
```
data_SrTeAsI2
_space_group_name_H-M_alt 'P 1'
_space_group_IT_number 1
_space_group_name_Hall 'P 1'
_cell_length_a 6.254
_cell_length_b 6.254
_cell_length_c 6.252
_cell_angle_alpha 90.00
_cell_angle_beta 90.00
_cell_angle_gamma 90.00
loop_
_atom_site_label
_atom_site_type_symbol
_atom_site_fract_x
_atom_site_fract_y
_atom_site_fract_z
Sr1 Sr 0.000 0.000 0.000
Te1 Te 0.000 0.000 0.500
As1 As 0.500 0.500 0.000
I1 I 0.000 0.500 0.500
I2 I 0.500 0.000 0.500
```

Raw total energy, eV/atom: -2.45
Space-group type: No. 123
Formation energy (no corrections), meV/atom: 68
Density of states at the Fermi level, states/eV/f.u.: 3.0
Energy relative to the lowest polymorph listed for this composition, meV per atom: 616
Crystal system: tetragonal